1.
! Mg2ZnIr | Alexandria | GGA-PBEsol | optimized geometry; values from VASP
! **Energy relative to the elements**: -0.266 eV per atom
! **Density**: 8124 kg/m3
&SYSTEM
  ibrav = 0, nat = 4, ntyp = 3
/
ATOMIC_SPECIES
Mg 24.30 Mg.upf
Ir 192.22 Ir.upf
Zn 65.41 Zn.upf
CELL_PARAMETERS angstrom
3.1886 0.0000 0.0000
0.0000 4.3858 -0.0505
-1.5943 -2.1506 4.5007
ATOMIC_POSITIONS angstrom
Mg 1.5943 0.0219 2.3340
Mg 1.5943 2.2341 4.3088
Ir 0.0000 2.2127 2.1107
Zn 1.5943 2.1946 0.1215

---

2.
! Zr2AgSe | Alexandria | GGA-PBEsol | optimized geometry; values from VASP
! **Formation energy without anion corrections**: -0.527 eV/atom
! **Density**: 7504 kg/m3
&SYSTEM
  ibrav = 0, nat = 4, ntyp = 3
/
ATOMIC_SPECIES
Zr 91.22 Zr.upf
Ag 107.87 Ag.upf
Se 78.96 Se.upf
CELL_PARAMETERS angstrom
-1.1864 -3.5479 -0.3800
0.7394 -1.9016 -3.1586
5.5646 -4.0119 1.4797
ATOMIC_POSITIONS angstrom
Zr 1.1430 -2.3130 -0.5781
Zr 3.9745 -7.1485 -1.4806
Ag 2.5588 -4.7307 -1.0294
Se 0.0000 0.0000 0.0000

---

3.
! RbI | Alexandria | GGA-PBEsol | optimized geometry; values from VASP
! **Formation energy without anion corrections**: -1.473 eV/atom
! **Density**: 3657 kg/m3
&SYSTEM
  ibrav = 0, nat = 2, ntyp = 2
/
ATOMIC_SPECIES
I 126.90 I.upf
Rb 85.47 Rb.upf
CELL_PARAMETERS angstrom
5.1473 0.0000 0.0000
2.5737 4.4577 0.0000
2.5737 1.4859 4.2028
ATOMIC_POSITIONS angstrom
I 5.1473 2.9718 2.1014
Rb 0.0000 0.0000 0.0000

---

4.
! NaTl3 | Alexandria | GGA-PBEsol | optimized geometry; values from VASP
! **Energy relative to the elements**: -0.083 eV per atom
! **Density**: 9888 kg/m3
&SYSTEM
  ibrav = 0, nat = 4, ntyp = 2
/
ATOMIC_SPECIES
Tl 204.38 Tl.upf
Na 22.99 Na.upf
CELL_PARAMETERS angstrom
4.6866 0.0000 0.0000
0.0000 4.6866 0.0000
-2.3433 -2.3433 4.8640
ATOMIC_POSITIONS angstrom
Tl 2.3433 2.3433 0.0000
Tl 0.0000 2.3433 2.4320
Tl 2.3433 0.0000 2.4320
Na 0.0000 0.0000 0.0000

---

Sequential M_tot output: 0.00 0.00 0.00 0.00 Bohr magnetons per cell